No. 1
Below is an optimized crystal structure of HfTlCuOs, with properties calculated at the PBE level.

Properties
raw total energy: -103.261 eV for the cell shown
energy above the lowest structure with this stoichiometry: 0.1727 eV/atom
M_tot: 0.01 μB per atom

Unit cell a=6.562 b=6.562 c=6.562 alpha=90.00 beta=90.00 gamma=90.00
Space group F-43m (No. 216)
One atom of each set of equivalent atoms:
Hf 0.000 0.000 0.000
Tl 0.250 0.250 0.250
Cu 0.000 0.000 0.500
Os 0.250 0.250 0.750

No. 2
Below is an optimized crystal structure of CdCu2Cl4, with properties calculated at the PBE level.

Properties
raw total energy: -40.872 eV for the cell shown

Unit cell a=5.440 b=5.440 c=11.313 alpha=90.00 beta=90.00 gamma=90.00
Space group I-42m (No. 121)
One atom of each set of equivalent atoms:
Cd 0.000 0.000 0.000
Cu 0.000 0.500 0.250
Cl 0.239 0.239 0.633

No. 3
Below is an optimized crystal structure of TbMgTe3Au, with properties calculated at the PBE level.

Properties
raw total energy: -93.994 eV for the cell shown
energy above the lowest structure with this stoichiometry: 0.0432 eV/atom
M_tot: 0.00 μB per atom

Unit cell a=13.449 b=4.131 c=12.362 alpha=90.00 beta=90.00 gamma=90.00
Space group Pnma (No. 62)
One atom of each set of equivalent atoms:
Tb 0.066 0.250 0.184
Mg 0.224 0.250 0.463
Te 0.055 0.750 0.368
Te 0.081 0.250 0.921
Te 0.211 0.750 0.640
Au 0.248 0.750 0.305

No. 4
Below is an optimized crystal structure of Dy2InSnPt4, with properties calculated at the PBE level.

Properties
raw total energy: -48.061 eV for the cell shown
energy above the lowest structure with this stoichiometry: 0.0000 eV/atom
M_tot: 0.00 μB per atom

Unit cell a=4.5679 b=4.5679 c=9.0617 alpha=90.00 beta=90.00 gamma=120.00
Space group P-3m1 (No. 164)
One atom of each set of equivalent atoms:
Dy 0.3333 0.6667 0.2512
In 0.0000 0.0000 0.5000
Sn 0.0000 0.0000 0.0000
Pt 0.3333 0.6667 0.5915
Pt 0.3333 0.6667 0.9086